Record 1
CrGaRhAu | PBE | relaxed

Cell: 6.2571 6.2571 6.2571 Å, 90.00 90.00 90.00°
Space group F-43m (No. 216)
Inequivalent atoms, fractional coordinates:
Cr: 0.0000 0.0000 0.0000 (multiplicity 4)
Ga: 0.0000 0.0000 0.5000 (multiplicity 4)
Rh: 0.2500 0.2500 0.2500 (multiplicity 4)
Au: 0.2500 0.2500 0.7500 (multiplicity 4)

Computed properties:
ΔH_f (0 K) in kcal/mol of atoms: -2.32
Total energy in eV/atom: -5.92
Size of the total moment in μB per atom: 0.91

=====

Record 2
Ag4IBr2F | PBE | relaxed

Cell: 11.4763 11.0516 8.4325 Å, 90.00 132.66 90.00°
Space group C2/c (No. 15)
Inequivalent atoms, fractional coordinates:
Ag: 0.0586 0.2454 0.0517 (multiplicity 8)
Ag: 0.2475 0.0218 0.0027 (multiplicity 8)
I: 0.0000 0.5000 0.0000 (multiplicity 4)
Br: 0.0000 0.0000 0.0000 (multiplicity 4)
Br: 0.2500 0.2500 0.5000 (multiplicity 4)
F: 0.2500 0.2500 0.0000 (multiplicity 4)

Computed properties:
E_form (uncorrected) in eV per atom: -0.406
Total energy in eV/atom: -2.68
Size of the total moment in μB per atom: 0.00

=====

Record 3
KTa3In | PBE | relaxed

Cell: 5.2114 5.2114 5.2114 Å, 90.00 90.00 90.00°
Space group Pm-3m (No. 221)
Inequivalent atoms, fractional coordinates:
K: 0.0000 0.0000 0.0000 (multiplicity 1)
Ta: 0.0000 0.5000 0.5000 (multiplicity 3)
In: 0.5000 0.5000 0.5000 (multiplicity 1)

Computed properties:
ΔH_f (0 K) in kcal/mol of atoms: 53.00
Total energy in eV/atom: -5.58
ΔE to the lowest computed polymorph in kJ/mol of formula units: 0
Size of the total moment in μB per atom: 0.00

=====

Record 4
InMo2Ru | PBE | relaxed

Cell: 6.4035 6.4035 6.4035 Å, 90.00 90.00 90.00°
Space group F-43m (No. 216)
Inequivalent atoms, fractional coordinates:
In: 0.0000 0.0000 0.0000 (multiplicity 4)
Mo: 0.0000 0.0000 0.5000 (multiplicity 4)
Mo: 0.2500 0.2500 0.2500 (multiplicity 4)
Ru: 0.2500 0.2500 0.7500 (multiplicity 4)

Computed properties:
ΔH_f (0 K) in kcal/mol of atoms: 5.92
Total energy in eV/atom: -8.16
Size of the total moment in μB per atom: 0.00